[1]
A plane-wave DFT calculation with PBE was carried out for a relaxed AsAu crystal.

Summary:
Formation energy from the elements: 242.3 meV/atom
Volume: 38.46 Å³/f.u.
DFT total energy: -3.721 eV/atom

abc: 2.983 2.983 9.984
angles: 90.00 90.00 120.00
Fractional positions:
As (0.000, 0.000, 0.973)
As (0.667, 0.333, 0.277)
Au (0.000, 0.000, 0.503)
Au (0.667, 0.333, 0.747)

[2]
A plane-wave DFT calculation with PBE was carried out for a relaxed AsAu crystal.

Summary:
Formation energy from the elements: 264.1 meV/atom
Volume: 61.71 Å³/f.u.
DFT total energy: -3.699 eV/atom

abc: 7.181 7.181 7.181
angles: 90.00 90.00 90.00
Fractional positions:
As (0.250, 0.000, 0.500)
As (0.750, 0.000, 0.500)
As (0.000, 0.500, 0.250)
As (0.000, 0.500, 0.750)
As (0.500, 0.250, 0.000)
As (0.500, 0.750, 0.000)
Au (0.250, 0.500, 0.000)
Au (0.750, 0.500, 0.000)
Au (0.500, 0.000, 0.250)
Au (0.500, 0.000, 0.750)
Au (0.000, 0.250, 0.500)
Au (0.000, 0.750, 0.500)

[3]
A plane-wave DFT calculation with PBE was carried out for a relaxed As7Au6 crystal.

Summary:
Formation energy from the elements: 342.7 meV/atom
Volume: 275.77 Å³/f.u.
DFT total energy: -3.674 eV/atom

abc: 9.730 9.730 9.730
angles: 35.37 35.37 35.37
Fractional positions:
As (0.906, 0.426, 0.426)
As (0.426, 0.426, 0.906)
As (0.426, 0.906, 0.426)
As (0.094, 0.574, 0.574)
As (0.574, 0.094, 0.574)
As (0.574, 0.574, 0.094)
As (0.500, 0.500, 0.500)
Au (0.922, 0.922, 0.922)
Au (0.078, 0.078, 0.078)
Au (0.822, 0.822, 0.822)
Au (0.178, 0.178, 0.178)
Au (0.670, 0.670, 0.670)
Au (0.330, 0.330, 0.330)

[4]
A plane-wave DFT calculation with PBE was carried out for a relaxed As5Au4 crystal.

Summary:
Formation energy from the elements: 306.0 meV/atom
ΔE to the lowest computed polymorph: 0.00 eV/f.u.
Volume: 172.75 Å³/f.u.
DFT total energy: -3.734 eV/atom

abc: 6.803 6.803 6.803
angles: 95.23 95.23 144.87
Fractional positions:
As (0.000, 0.000, 0.000)
As (0.677, 0.323, 0.000)
As (0.323, 0.677, 0.000)
As (0.323, 0.323, 0.646)
As (0.677, 0.677, 0.354)
Au (0.666, 0.000, 0.666)
Au (0.334, 0.000, 0.334)
Au (0.000, 0.334, 0.334)
Au (0.000, 0.666, 0.666)

[5]
A plane-wave DFT calculation with PBE was carried out for a relaxed As3Au crystal.

Summary:
Formation energy from the elements: 455.5 meV/atom
ΔE to the lowest computed polymorph: 1.62 eV/f.u.
Volume: 77.65 Å³/f.u.
DFT total energy: -3.851 eV/atom

abc: 4.266 4.266 4.266
angles: 90.00 90.00 90.00
Fractional positions:
As (0.000, 0.500, 0.500)
As (0.500, 0.000, 0.500)
As (0.500, 0.500, 0.000)
Au (0.000, 0.000, 0.000)

[6]
A plane-wave DFT calculation with PBE was carried out for a relaxed AsAu crystal.

Summary:
Formation energy from the elements: 129.7 meV/atom
Volume: 44.58 Å³/f.u.
DFT total energy: -3.834 eV/atom

abc: 4.754 4.482 12.554
angles: 90.00 90.00 90.00
Fractional positions:
As (0.000, 0.084, 0.686)
As (0.500, 0.916, 0.814)
As (0.500, 0.916, 0.186)
As (0.000, 0.084, 0.314)
As (0.000, 0.347, 0.000)
As (0.500, 0.653, 0.500)
Au (0.000, 0.670, 0.834)
Au (0.500, 0.330, 0.666)
Au (0.500, 0.330, 0.334)
Au (0.000, 0.670, 0.166)
Au (0.000, 0.862, 0.500)
Au (0.500, 0.138, 0.000)

[7]
A plane-wave DFT calculation with PBE was carried out for a relaxed AsAu crystal.

Summary:
Formation energy from the elements: 93.4 meV/atom
Volume: 42.44 Å³/f.u.
DFT total energy: -3.870 eV/atom

abc: 6.570 6.578 3.660
angles: 73.85 73.83 34.11
Fractional positions:
As (0.852, 0.187, 0.980)
As (0.065, 0.396, 0.770)
Au (0.333, 0.669, 0.499)
Au (0.583, 0.915, 0.251)

[8]
A plane-wave DFT calculation with PBE was carried out for a relaxed As5Au crystal.

Summary:
Formation energy from the elements: 272.1 meV/atom
ΔE to the lowest computed polymorph: 0.15 eV/f.u.
Volume: 124.18 Å³/f.u.
DFT total energy: -4.149 eV/atom

abc: 9.685 9.685 3.707
angles: 90.00 90.00 159.07
Fractional positions:
As (0.831, 0.169, 0.500)
As (0.668, 0.332, 0.000)
As (0.503, 0.497, 0.500)
As (0.279, 0.721, 0.000)
As (0.108, 0.892, 0.500)
Au (0.943, 0.057, 0.000)

[9]
A plane-wave DFT calculation with PBE was carried out for a relaxed As3Au crystal.

Summary:
Formation energy from the elements: 173.1 meV/atom
ΔE to the lowest computed polymorph: 0.49 eV/f.u.
Volume: 81.57 Å³/f.u.
DFT total energy: -4.133 eV/atom

abc: 7.625 6.376 6.711
angles: 90.00 90.00 90.00
Fractional positions:
As (0.124, 0.918, 0.750)
As (0.624, 0.582, 0.250)
As (0.376, 0.418, 0.750)
As (0.876, 0.082, 0.250)
As (0.610, 0.250, 0.996)
As (0.110, 0.250, 0.004)
As (0.890, 0.750, 0.504)
As (0.390, 0.750, 0.496)
As (0.390, 0.750, 0.004)
As (0.890, 0.750, 0.996)
As (0.110, 0.250, 0.496)
As (0.610, 0.250, 0.504)
Au (0.638, 0.903, 0.750)
Au (0.138, 0.597, 0.250)
Au (0.862, 0.403, 0.750)
Au (0.362, 0.097, 0.250)

[10]
A plane-wave DFT calculation with PBE was carried out for a relaxed AsAu2 crystal.

Summary:
Formation energy from the elements: 254.8 meV/atom
Volume: 59.11 Å³/f.u.
DFT total energy: -3.480 eV/atom

abc: 6.815 6.815 4.409
angles: 90.00 90.00 120.00
Fractional positions:
As (0.333, 0.667, 0.000)
As (0.667, 0.333, 0.000)
As (0.000, 0.000, 0.500)
Au (0.253, 0.000, 0.000)
Au (0.000, 0.253, 0.000)
Au (0.747, 0.747, 0.000)
Au (0.601, 0.000, 0.500)
Au (0.000, 0.601, 0.500)
Au (0.399, 0.399, 0.500)

[11]
A plane-wave DFT calculation with PBE was carried out for a relaxed AsAu2 crystal.

Summary:
Formation energy from the elements: 171.5 meV/atom
Volume: 56.04 Å³/f.u.
DFT total energy: -3.563 eV/atom

abc: 13.076 13.076 13.076
angles: 161.54 161.54 26.23
Fractional positions:
As (0.925, 0.925, 0.000)
As (0.075, 0.075, 0.000)
As (0.175, 0.675, 0.500)
As (0.325, 0.825, 0.500)
Au (0.752, 0.752, 0.000)
Au (0.248, 0.248, 0.000)
Au (0.002, 0.502, 0.500)
Au (0.498, 0.998, 0.500)
Au (0.586, 0.586, 0.000)
Au (0.414, 0.414, 0.000)
Au (0.836, 0.336, 0.500)
Au (0.664, 0.164, 0.500)

[12]
A plane-wave DFT calculation with PBE was carried out for a relaxed As3Au crystal.

Summary:
Formation energy from the elements: 359.2 meV/atom
ΔE to the lowest computed polymorph: 1.23 eV/f.u.
Volume: 81.07 Å³/f.u.
DFT total energy: -3.947 eV/atom

abc: 11.961 11.961 11.961
angles: 162.07 162.07 25.46
Fractional positions:
As (0.000, 0.500, 0.500)
As (0.500, 0.000, 0.500)
As (0.750, 0.250, 0.500)
As (0.250, 0.750, 0.500)
As (0.854, 0.854, 0.000)
As (0.146, 0.146, 0.000)
Au (0.600, 0.600, 0.000)
Au (0.400, 0.400, 0.000)

- Number 2 is which compound?
  AsAu

- volume of number 9 (As3Au)?
  81.57 Å³/f.u.